VASP calculation (PBE with a Hubbard U) on a geometry-optimized SrMn2ClF structure. Values from VASP.

Values from the calculation:
Volume (Å³ per atom): 49.4
Uncorrected energy (eV per atom): -4.05

```
&SYSTEM
  ibrav = 0, nat = 5, ntyp = 4
/
ATOMIC_SPECIES
Sr 87.62 Sr.upf
Mn 54.94 Mn.upf
Cl 35.45 Cl.upf
F 19.00 F.upf
ATOMIC_POSITIONS angstrom
Sr 0.0000 0.0000 0.0000
Mn 0.0000 3.3826 0.0000
Mn 3.3826 0.0000 0.0000
Cl 0.0000 0.0000 2.6958
F 3.3826 3.3826 2.6958
CELL_PARAMETERS angstrom
6.7651 0.0000 0.0000
0.0000 6.7651 0.0000
0.0000 0.0000 5.3916
```